1.
# Li2NdMg9 | Alexandria via LeMat-Bulk | PBE | optimized geometry
data_Li2NdMg9
_chemical_formula_sum 'Li2 Nd1 Mg9'
_cell_length_a 9.9422
_cell_length_b 9.9422
_cell_length_c 3.2749
_cell_angle_alpha 90.00
_cell_angle_beta 90.00
_cell_angle_gamma 120.00
_symmetry_space_group_name_H-M 'P 6/m m m'
_symmetry_Int_Tables_number 191
_symmetry_space_group_name_Hall '-P 6 2'
loop_
_atom_site_label
_atom_site_fract_x
_atom_site_fract_y
_atom_site_fract_z
Li1 0.3333 0.6667 0.0000
Nd1 0.0000 0.0000 0.0000
Mg1 0.0000 0.5000 0.0000
Mg2 0.1809 0.3619 0.5000
# DFT formation energy: -0.47 eV per formula unit

2.
# CsLiSn4 | Alexandria via LeMat-Bulk | PBE | optimized geometry
data_CsLiSn4
_chemical_formula_sum 'Cs4 Li4 Sn16'
_cell_length_a 9.187
_cell_length_b 9.187
_cell_length_c 9.187
_cell_angle_alpha 90.00
_cell_angle_beta 90.00
_cell_angle_gamma 90.00
_symmetry_space_group_name_H-M 'F -4 3 m'
_symmetry_Int_Tables_number 216
_symmetry_space_group_name_Hall 'F -4 2 3'
loop_
_atom_site_label
_atom_site_fract_x
_atom_site_fract_y
_atom_site_fract_z
Cs1 0.000 0.000 0.000
Li1 0.250 0.250 0.250
Sn1 0.124 0.124 0.624
# DFT formation energy: 0.06 eV per formula unit

3.
# Ni2HPdRh | Alexandria via LeMat-Bulk | PBE | optimized geometry
data_Ni2HPdRh
_chemical_formula_sum 'Ni2 H1 Pd1 Rh1'
_cell_length_a 3.830
_cell_length_b 3.830
_cell_length_c 3.707
_cell_angle_alpha 90.00
_cell_angle_beta 90.00
_cell_angle_gamma 90.00
_symmetry_space_group_name_H-M 'P 4/m m m'
_symmetry_Int_Tables_number 123
_symmetry_space_group_name_Hall '-P 4 2'
loop_
_atom_site_label
_atom_site_fract_x
_atom_site_fract_y
_atom_site_fract_z
Ni1 0.000 0.500 0.000
H1 0.000 0.000 0.000
Pd1 0.500 0.500 0.500
Rh1 0.000 0.000 0.500
# E_tot: -27.25 eV for the cell shown

4.
# AlSn2AsPt | Alexandria via LeMat-Bulk | PBE | optimized geometry
data_AlSn2AsPt
_chemical_formula_sum 'Al1 Sn2 As1 Pt1'
_cell_length_a 5.209
_cell_length_b 5.209
_cell_length_c 4.736
_cell_angle_alpha 90.00
_cell_angle_beta 90.00
_cell_angle_gamma 90.00
_symmetry_space_group_name_H-M 'P 4/m m m'
_symmetry_Int_Tables_number 123
_symmetry_space_group_name_Hall '-P 4 2'
loop_
_atom_site_label
_atom_site_fract_x
_atom_site_fract_y
_atom_site_fract_z
Al1 0.000 0.000 0.000
Sn1 0.000 0.500 0.500
As1 0.500 0.500 0.000
Pt1 0.000 0.000 0.500
# DFT formation energy: 0.17 eV per formula unit

5.
# Sr2La2Ir | Alexandria via LeMat-Bulk | PBE | optimized geometry
data_Sr2La2Ir
_chemical_formula_sum 'Sr4 La4 Ir2'
_cell_length_a 7.557
_cell_length_b 7.557
_cell_length_c 6.518
_cell_angle_alpha 90.00
_cell_angle_beta 90.00
_cell_angle_gamma 90.00
_symmetry_space_group_name_H-M 'P 4/m b m'
_symmetry_Int_Tables_number 127
_symmetry_space_group_name_Hall '-P 4 2ab'
loop_
_atom_site_label
_atom_site_fract_x
_atom_site_fract_y
_atom_site_fract_z
Sr1 0.179 0.321 0.000
La1 0.170 0.670 0.500
Ir1 0.000 0.000 0.500
# DFT formation energy: -0.53 eV per formula unit

6.
# SrFe2Ag | Alexandria via LeMat-Bulk | PBE | optimized geometry
data_SrFe2Ag
_chemical_formula_sum 'Sr2 Fe4 Ag2'
_cell_length_a 5.715
_cell_length_b 9.127
_cell_length_c 2.907
_cell_angle_alpha 90.00
_cell_angle_beta 90.00
_cell_angle_gamma 90.00
_symmetry_space_group_name_H-M 'C m m m'
_symmetry_Int_Tables_number 65
_symmetry_space_group_name_Hall '-C 2 2'
loop_
_atom_site_label
_atom_site_fract_x
_atom_site_fract_y
_atom_site_fract_z
Sr1 0.000 0.000 0.000
Fe1 0.250 0.250 0.500
Ag1 0.000 0.500 0.000
# DFT formation energy: 3.33 eV per formula unit

> Which formula does entry 2 have?

CsLiSn4